Entry one
Compound: TmTiP2
Source: Alexandria
Functional: PBE
Structure: relaxed

The structure belongs to space group R-3m (No. 166, hexagonal axes); the cell edges are 3.7122, 3.7122 and 18.3781 Å and the angles 90.00°, 90.00° and 120.00°. The inequivalent atoms are Tm at (0.0000, 0.0000, 0.0000), Ti at (0.0000, 0.0000, 0.5000) and P at (0.0000, 0.0000, 0.2412).



Entry two
Compound: TmTiP2
Source: Alexandria
Functional: PBE
Structure: relaxed

The structure belongs to space group R3m (No. 160, hexagonal axes); the cell edges are 3.6647, 3.6647 and 19.1182 Å and the angles 90.00°, 90.00° and 120.00°. The inequivalent atoms are Tm at (0.0000, 0.0000, 0.0000), Ti at (0.0000, 0.0000, 0.8252), P at (0.0000, 0.0000, 0.2362) and P at (0.0000, 0.0000, 0.4234).



Relative to the most stable structure, the computed energies are entry one 0.000; entry two 0.106, all in eV/atom.



Entry one
Compound: UTiP2
Source: Alexandria
Functional: PBE
Structure: relaxed

The structure belongs to space group R3m (No. 160, hexagonal axes); the cell edges are 3.5939, 3.5939 and 19.8051 Å and the angles 90.00°, 90.00° and 120.00°. The inequivalent atoms are U at (0.0000, 0.0000, 0.0000), Ti at (0.0000, 0.0000, 0.1735), P at (0.0000, 0.0000, 0.5759) and P at (0.0000, 0.0000, 0.7641).



Entry two
Compound: UTiP2
Source: Alexandria
Functional: PBE
Structure: relaxed

The structure belongs to space group R-3m (No. 166, hexagonal axes); the cell edges are 3.7340, 3.7340 and 18.1416 Å and the angles 90.00°, 90.00° and 120.00°. The inequivalent atoms are U at (0.0000, 0.0000, 0.0000), Ti at (0.0000, 0.0000, 0.5000) and P at (0.0000, 0.0000, 0.2407).



Entry three
Compound: UTiP2
Source: Alexandria
Functional: PBE
Structure: relaxed

The structure belongs to space group Cmcm (No. 63); the cell edges are 3.6222, 20.5177 and 3.9594 Å and the angles 90.00°, 90.00° and 90.00°. The inequivalent atoms are U at (0.0000, 0.0637, 0.2500), Ti at (0.0000, 0.3096, 0.2500), P at (0.0000, 0.1920, 0.2500) and P at (0.0000, 0.4356, 0.2500).



Relative to the most stable structure, the computed energies are entry one 0.117; entry two 0.000; entry three 0.206, all in eV/atom.